(1)
Here is a geometry-optimized SrSmZnGa structure from Alexandria. Energies are from PBE.

Structure (CIF):
```
data_SrSmZnGa
_chemical_formula_sum 'Sr4 Sm4 Zn4 Ga4'
_symmetry_space_group_name_H-M 'F -4 3 m'
_symmetry_Int_Tables_number 216
_symmetry_space_group_name_Hall 'F -4 2 3'
_cell_length_a 7.535
_cell_length_b 7.535
_cell_length_c 7.535
_cell_angle_alpha 90.00
_cell_angle_beta 90.00
_cell_angle_gamma 90.00
loop_
_atom_site_label
_atom_site_type_symbol
_atom_site_fract_x
_atom_site_fract_y
_atom_site_fract_z
Sr1 Sr 0.000 0.000 0.000
Sm1 Sm 0.000 0.000 0.500
Zn1 Zn 0.250 0.250 0.250
Ga1 Ga 0.250 0.250 0.750
```

## Properties
Total moment   0.0000 μB per atom
ρ   5.793 g cm⁻³
DFT total energy   -2.998 eV per atom
Energy of formation from the pure elements   -0.32 eV/atom

***

(2)
Here is a geometry-optimized Sr2In5Cu3 structure from Alexandria. Energies are from PBE.

Structure (CIF):
```
data_Sr2In5Cu3
_chemical_formula_sum 'Sr8 In20 Cu12'
_symmetry_space_group_name_H-M 'C m c 21'
_symmetry_Int_Tables_number 36
_cell_length_a 4.639
_cell_length_b 27.003
_cell_length_c 7.491
_cell_angle_alpha 90.00
_cell_angle_beta 90.00
_cell_angle_gamma 90.00
loop_
_symmetry_equiv_pos_as_xyz
'x,y,z'
'-x,-y,z+1/2'
'-x,y,z'
'x,-y,z+1/2'
'x+1/2,y+1/2,z'
'-x+1/2,-y+1/2,z+1/2'
'-x+1/2,y+1/2,z'
'x+1/2,-y+1/2,z+1/2'
loop_
_atom_site_label
_atom_site_type_symbol
_atom_site_fract_x
_atom_site_fract_y
_atom_site_fract_z
Sr1 Sr 0.000 0.022 0.000
Sr2 Sr 0.000 0.325 0.055
In1 In 0.000 0.098 0.364
In2 In 0.000 0.206 0.861
In3 In 0.000 0.209 0.260
In4 In 0.000 0.374 0.527
In5 In 0.000 0.446 0.176
Cu1 Cu 0.000 0.110 0.740
Cu2 Cu 0.000 0.272 0.563
Cu3 Cu 0.000 0.452 0.793
```

## Properties
Total moment   0.0000 μB per atom
ρ   6.653 g cm⁻³
DFT total energy   -3.150 eV per atom
Energy of formation from the pure elements   -0.22 eV/atom

***

(3)
Here is a geometry-optimized Nd2Cu2SbRh5 structure from Alexandria. Energies are from PBE.

Structure (CIF):
```
data_Nd2Cu2SbRh5
_chemical_formula_sum 'Nd4 Cu4 Sb2 Rh10'
_symmetry_space_group_name_H-M 'P 4/m b m'
_symmetry_Int_Tables_number 127
_symmetry_space_group_name_Hall '-P 4 2ab'
_cell_length_a 9.532
_cell_length_b 9.532
_cell_length_c 3.845
_cell_angle_alpha 90.00
_cell_angle_beta 90.00
_cell_angle_gamma 90.00
loop_
_atom_site_label
_atom_site_type_symbol
_atom_site_fract_x
_atom_site_fract_y
_atom_site_fract_z
Nd1 Nd 0.174 0.326 0.000
Cu1 Cu 0.122 0.622 0.000
Sb1 Sb 0.000 0.000 0.000
Rh1 Rh 0.000 0.500 0.500
Rh2 Rh 0.068 0.791 0.500
```

## Properties
Total moment   0.0000 μB per atom
ρ   9.999 g cm⁻³
DFT total energy   -6.360 eV per atom

***

(4)
Here is a geometry-optimized Li4LaTl structure from Alexandria. Energies are from PBE.

Structure (CIF):
```
data_Li4LaTl
_chemical_formula_sum 'Li16 La4 Tl4'
_symmetry_space_group_name_H-M 'F -4 3 m'
_symmetry_Int_Tables_number 216
_symmetry_space_group_name_Hall 'F -4 2 3'
_cell_length_a 8.000
_cell_length_b 8.000
_cell_length_c 8.000
_cell_angle_alpha 90.00
_cell_angle_beta 90.00
_cell_angle_gamma 90.00
loop_
_atom_site_label
_atom_site_type_symbol
_atom_site_fract_x
_atom_site_fract_y
_atom_site_fract_z
Li1 Li 0.124 0.124 0.376
La1 La 0.000 0.000 0.000
Tl1 Tl 0.250 0.250 0.750
```

## Properties
Total moment   0.0000 μB per atom
ρ   4.814 g cm⁻³
DFT total energy   -2.626 eV per atom
Energy of formation from the pure elements   -0.13 eV/atom

***

(5)
Here is a geometry-optimized OsRu2Br structure from Alexandria. Energies are from PBE.

Structure (CIF):
```
data_OsRu2Br
_chemical_formula_sum 'Os2 Ru4 Br2'
_symmetry_space_group_name_H-M 'C m m m'
_symmetry_Int_Tables_number 65
_symmetry_space_group_name_Hall '-C 2 2'
_cell_length_a 2.787
_cell_length_b 4.929
_cell_length_c 9.336
_cell_angle_alpha 90.00
_cell_angle_beta 90.00
_cell_angle_gamma 90.00
loop_
_atom_site_label
_atom_site_type_symbol
_atom_site_fract_x
_atom_site_fract_y
_atom_site_fract_z
Os1 Os 0.000 0.000 0.000
Ru1 Ru 0.000 0.500 0.235
Br1 Br 0.000 0.000 0.500
```

## Properties
Total moment   0.1380 μB per atom
ρ   12.231 g cm⁻³
DFT total energy   -6.928 eV per atom

***

(6)
Here is a geometry-optimized La2YTc structure from Alexandria. Energies are from PBE.

Structure (CIF):
```
data_La2YTc
_chemical_formula_sum 'La8 Y4 Tc4'
_symmetry_space_group_name_H-M 'P n m a'
_symmetry_Int_Tables_number 62
_cell_length_a 7.439
_cell_length_b 9.721
_cell_length_c 6.546
_cell_angle_alpha 90.00
_cell_angle_beta 90.00
_cell_angle_gamma 90.00
loop_
_symmetry_equiv_pos_as_xyz
'x,y,z'
'-x,-y,-z'
'-x+1/2,-y,z+1/2'
'x+1/2,y,-z+1/2'
'x+1/2,-y+1/2,-z+1/2'
'-x+1/2,y+1/2,z+1/2'
'-x,y+1/2,-z'
'x,-y+1/2,z'
loop_
_atom_site_label
_atom_site_type_symbol
_atom_site_fract_x
_atom_site_fract_y
_atom_site_fract_z
La1 La 0.176 0.067 0.166
Y1 Y 0.057 0.250 0.642
Tc1 Tc 0.089 0.750 0.951
```

## Properties
Total moment   0.0000 μB per atom
ρ   6.521 g cm⁻³
DFT total energy   -6.711 eV per atom
Energy of formation from the pure elements   -0.04 eV/atom

***

(7)
Here is a geometry-optimized SmInCuAg structure from Alexandria. Energies are from PBE.

Structure (CIF):
```
data_SmInCuAg
_chemical_formula_sum 'Sm4 In4 Cu4 Ag4'
_symmetry_space_group_name_H-M 'F -4 3 m'
_symmetry_Int_Tables_number 216
_symmetry_space_group_name_Hall 'F -4 2 3'
_cell_length_a 6.933
_cell_length_b 6.933
_cell_length_c 6.933
_cell_angle_alpha 90.00
_cell_angle_beta 90.00
_cell_angle_gamma 90.00
loop_
_atom_site_label
_atom_site_type_symbol
_atom_site_fract_x
_atom_site_fract_y
_atom_site_fract_z
Sm1 Sm 0.000 0.000 0.000
In1 In 0.000 0.000 0.500
Cu1 Cu 0.250 0.250 0.750
Ag1 Ag 0.250 0.250 0.250
```

## Properties
Total moment   0.0000 μB per atom
ρ   8.703 g cm⁻³
DFT total energy   -3.915 eV per atom
Energy of formation from the pure elements   -0.31 eV/atom

***

(8)
Here is a geometry-optimized AcGaHg2Pd2 structure from Alexandria. Energies are from PBE.

Structure (CIF):
```
data_AcGaHg2Pd2
_chemical_formula_sum 'Ac2 Ga2 Hg4 Pd4'
_symmetry_space_group_name_H-M 'I 4/m m m'
_symmetry_Int_Tables_number 139
_symmetry_space_group_name_Hall '-I 4 2'
_cell_length_a 5.380
_cell_length_b 5.380
_cell_length_c 10.739
_cell_angle_alpha 90.00
_cell_angle_beta 90.00
_cell_angle_gamma 90.00
loop_
_atom_site_label
_atom_site_type_symbol
_atom_site_fract_x
_atom_site_fract_y
_atom_site_fract_z
Ac1 Ac 0.000 0.000 0.000
Ga1 Ga 0.000 0.000 0.500
Hg1 Hg 0.000 0.500 0.250
Pd1 Pd 0.000 0.000 0.278
```

## Properties
Total moment   0.0000 μB per atom
ρ   9.729 g cm⁻³
DFT total energy   -3.300 eV per atom
Energy of formation from the pure elements   -0.28 eV/atom